Nd2TlZn, relaxed, DFT PBE-GGA; space-group type = R-3m, No. 166; E_form = -0.1746 eV/atom; magnetization = 0.000 μB/atom; energy = -13.874 eV per cell; DOS(E_F) = 4.88 states/eV/cell
1.0
-1.379 -2.022 2.970
0.366 -3.831 0.056
7.893 -1.100 5.409
Tl Nd Zn
1 2 1
Direct
0.500 0.500 0.500
0.256 0.256 0.232
0.744 0.744 0.768
0.000 0.000 0.000